[1]
Density functional theory data (GGA-PBE) for crystalline TiAl2AsBr at its relaxed geometry.

## Properties
* ΔE_f (raw): 0.315 eV per atom

Cell lengths 5.406, 5.406, 4.713 Å; angles 90.00, 90.00, 90.00 degrees
Fractional coordinates of all 5 atoms:
Ti 0.000 0.000 0.000
Al 0.000 0.500 0.000
Al 0.500 0.000 0.000
As 0.000 0.000 0.500
Br 0.500 0.500 0.500



[2]
Density functional theory data (GGA-PBE) for crystalline Ho2Co3B12Os at its relaxed geometry.

## Properties
* energy relative to the elements: 51 meV per atom

Cell lengths 8.317, 8.317, 8.317 Å; angles 37.37, 37.37, 37.37 degrees
Fractional coordinates of all 18 atoms:
Ho 0.137 0.137 0.137
Ho 0.863 0.863 0.863
Co 0.000 0.500 0.500
Co 0.500 0.000 0.500
Co 0.500 0.500 0.000
B 0.158 0.158 0.478
B 0.158 0.478 0.158
B 0.174 0.546 0.546
B 0.454 0.454 0.826
B 0.454 0.826 0.454
B 0.478 0.158 0.158
B 0.522 0.842 0.842
B 0.546 0.174 0.546
B 0.546 0.546 0.174
B 0.826 0.454 0.454
B 0.842 0.522 0.842
B 0.842 0.842 0.522
Os 0.500 0.500 0.500



We obtain E values of -20.13 -120.91 eV/cell for the records listed above, in that order.